(1)
The following is a DFT calculation (GGA-PBE) of a relaxed structure of Ac2Hg3Au3O12.

Cell: 12.057 12.057 12.057 Å, 109.47 109.47 109.47°
Atoms (fractional coordinates):
Ac  0.000  0.000  0.000
Ac  0.500  0.000  0.000
Ac  0.500  0.500  0.000
Ac  0.000  0.500  0.000
Ac  0.500  0.000  0.500
Ac  0.000  0.500  0.500
Ac  0.000  0.000  0.500
Ac  0.500  0.500  0.500
Au  0.750  0.375  0.125
Au  0.875  0.750  0.125
Au  0.125  0.375  0.250
Au  0.625  0.875  0.250
Au  0.250  0.125  0.375
Au  0.625  0.250  0.375
Au  0.375  0.750  0.625
Au  0.750  0.875  0.625
Au  0.375  0.125  0.750
Au  0.875  0.625  0.750
Au  0.125  0.250  0.875
Au  0.250  0.625  0.875
Hg  0.375  0.250  0.125
Hg  0.250  0.875  0.125
Hg  0.875  0.125  0.250
Hg  0.375  0.625  0.250
Hg  0.125  0.750  0.375
Hg  0.750  0.625  0.375
Hg  0.875  0.250  0.625
Hg  0.250  0.375  0.625
Hg  0.625  0.375  0.750
Hg  0.125  0.875  0.750
Hg  0.750  0.125  0.875
Hg  0.625  0.750  0.875
O  0.317  0.377  0.032
O  0.215  0.655  0.032
O  0.845  0.877  0.060
O  0.715  0.183  0.060
O  0.655  0.940  0.123
O  0.968  0.183  0.123
O  0.032  0.715  0.155
O  0.623  0.440  0.155
O  0.468  0.123  0.183
O  0.215  0.060  0.183
O  0.155  0.532  0.215
O  0.560  0.683  0.215
O  0.317  0.440  0.285
O  0.468  0.845  0.285
O  0.877  0.532  0.317
O  0.940  0.785  0.317
O  0.285  0.968  0.345
O  0.560  0.377  0.345
O  0.060  0.345  0.377
O  0.817  0.032  0.377
O  0.123  0.155  0.440
O  0.817  0.285  0.440
O  0.623  0.683  0.468
O  0.345  0.785  0.468
O  0.655  0.215  0.532
O  0.377  0.317  0.532
O  0.183  0.715  0.560
O  0.877  0.845  0.560
O  0.183  0.968  0.623
O  0.940  0.655  0.623
O  0.440  0.623  0.655
O  0.715  0.032  0.655
O  0.060  0.215  0.683
O  0.123  0.468  0.683
O  0.683  0.560  0.715
O  0.532  0.155  0.715
O  0.440  0.317  0.785
O  0.845  0.468  0.785
O  0.785  0.940  0.817
O  0.532  0.877  0.817
O  0.377  0.560  0.845
O  0.968  0.285  0.845
O  0.032  0.817  0.877
O  0.345  0.060  0.877
O  0.155  0.123  0.940
O  0.285  0.817  0.940
O  0.785  0.345  0.968
O  0.683  0.623  0.968

Values from the calculation:
E_tot: -4.5122 eV per atom

***

(2)
The following is a DFT calculation (GGA-PBE) of a relaxed structure of La3Fe2Ge4Pd2.

Cell: 12.801 12.801 12.801 Å, 161.25 160.57 27.13°
Atoms (fractional coordinates):
Fe  0.250  0.250  0.000
Fe  0.750  0.750  0.000
Ge  0.050  0.050  0.000
Ge  0.950  0.950  0.000
Ge  0.705  0.205  0.500
Ge  0.295  0.795  0.500
La  0.500  0.500  0.000
La  0.846  0.346  0.500
La  0.154  0.654  0.500
Pd  0.602  0.102  0.500
Pd  0.398  0.898  0.500

Values from the calculation:
E_tot: -6.1983 eV per atom

***

(3)
The following is a DFT calculation (GGA-PBE) of a relaxed structure of HfMgCd.

Cell: 4.774 4.774 4.774 Å, 60.00 60.00 60.00°
Atoms (fractional coordinates):
Cd  0.250  0.250  0.250
Hf  0.000  0.000  0.000
Mg  0.750  0.750  0.750

Values from the calculation:
E_tot: -3.4199 eV per atom

***

(4)
The following is a DFT calculation (GGA-PBE) of a relaxed structure of Y3Co2.

Cell: 12.118 9.300 3.926 Å, 90.00 90.00 90.00°
Each line ends with the local moment (μB).
Atoms (fractional coordinates):
Co  0.538  0.118  0.000  0.12
Co  0.734  0.142  0.000  0.06
Co  0.266  0.858  0.000  0.06
Co  0.462  0.882  0.000  0.12
Co  0.234  0.358  0.500  0.06
Co  0.038  0.382  0.500  0.12
Co  0.962  0.618  0.500  0.12
Co  0.766  0.642  0.500  0.06
Y  0.128  0.195  0.000  0.01
Y  0.387  0.374  0.000  0.03
Y  0.864  0.428  0.000  0.00
Y  0.136  0.572  0.000  0.00
Y  0.613  0.626  0.000  0.03
Y  0.872  0.805  0.000  0.01
Y  0.364  0.072  0.500  0.00
Y  0.887  0.126  0.500  0.04
Y  0.628  0.305  0.500  0.01
Y  0.372  0.695  0.500  0.01
Y  0.113  0.874  0.500  0.04
Y  0.636  0.928  0.500  0.00

Values from the calculation:
Energy relative to the elements: -168 meV/atom

***

(5)
The following is a DFT calculation (GGA-PBE) of a relaxed structure of KReAuS3.

Cell: 8.314 8.314 9.596 Å, 90.00 90.00 154.73°
Each line ends with the local moment (μB).
Atoms (fractional coordinates):
Au  0.620  0.380  0.250  0.05
Au  0.380  0.620  0.750  0.05
K  0.288  0.712  0.250  0.01
K  0.712  0.288  0.750  0.01
Re  0.000  0.000  0.000  1.97
Re  0.000  0.000  0.500  1.97
S  0.603  0.397  0.013  0.04
S  0.960  0.040  0.250  0.05
S  0.603  0.397  0.487  0.04
S  0.397  0.603  0.513  0.04
S  0.040  0.960  0.750  0.06
S  0.397  0.603  0.987  0.04

Values from the calculation:
E_tot: -5.0978 eV per atom

***

(6)
The following is a DFT calculation (GGA-PBE) of a relaxed structure of Tm2TlOs.

Cell: 3.384 3.384 7.996 Å, 90.00 90.00 90.00°
Atoms (fractional coordinates):
Os  0.500  0.500  0.000
Tl  0.500  0.500  0.500
Tm  0.000  0.000  0.205
Tm  0.000  0.000  0.795

Values from the calculation:
E_tot: -6.0034 eV per atom